This record from Alexandria via LeMat-Bulk describes a relaxed structure of Tm5Se5S2. The functional is PBE-GGA.

```
Tm5Se5S2
1.0
3.896 0.000 0.000
-1.948 6.536 0.008
0.000 -3.108 11.392
Tm Se S
5 5 2
Cartesian
0.000 0.150 4.717
1.948 -0.029 9.221
0.000 3.457 2.179
1.948 3.278 6.683
0.000 0.000 0.000
1.948 -1.554 5.696
1.948 1.947 0.592
1.948 2.102 4.023
0.000 1.326 7.377
0.000 1.481 10.808
0.000 -1.927 8.982
1.948 5.355 2.417
```

Properties
The crystal system is monoclinic. The volume comes out at 24.18 A^3/atom. For the density of states at the Fermi level, the calculation gives 1.78 states/eV/f.u. The uncorrected formation energy comes out at -1.89 eV/atom.


This record from Alexandria via LeMat-Bulk describes a relaxed structure of Tm2SeS. The functional is PBE-GGA.

```
Tm2SeS
1.0
4.330 0.003 -0.003
2.168 3.749 -0.003
2.162 1.247 7.227
Tm Se S
2 1 1
Cartesian
2.904 2.787 4.191
2.907 0.293 0.216
2.914 2.793 1.435
5.072 1.541 4.834
```

Properties
The crystal system is monoclinic. The volume comes out at 29.32 A^3/atom. For the density of states at the Fermi level, the calculation gives 2.07 states/eV/f.u. The uncorrected formation energy comes out at -1.41 eV/atom. As for the polymorph energy (0 for the lowest one): 415 meV per atom.


This record from Alexandria via LeMat-Bulk describes a relaxed structure of Tm8SeS6. The functional is PBE-GGA.

```
Tm8SeS6
1.0
-0.172 -2.899 -2.600
6.601 4.756 -5.738
3.142 -6.410 6.939
Tm Se S
8 1 6
Cartesian
7.172 0.519 -5.389
6.594 -3.080 -1.339
2.195 -0.792 -3.599
2.399 -5.072 3.990
2.977 -1.473 -0.061
7.376 -3.761 2.200
4.167 -4.854 0.771
5.405 0.300 -2.170
-0.086 -1.449 -1.300
4.594 0.054 -4.767
7.211 -1.384 -3.337
4.151 -2.122 -2.311
4.978 -4.608 3.368
2.360 -3.169 1.937
5.421 -2.431 0.912
```

Properties
The crystal system is trigonal. The volume comes out at 22.30 A^3/atom. For the density of states at the Fermi level, the calculation gives 6.72 states/eV/f.u. The uncorrected formation energy comes out at -1.50 eV/atom.


This record from Alexandria via LeMat-Bulk describes a relaxed structure of Tm3Se3S. The functional is PBE-GGA.

```
Tm3Se3S
1.0
-0.751 3.642 -6.193
-6.911 -3.467 -1.658
0.363 6.406 3.951
Tm Se S
6 6 2
Cartesian
-0.467 0.762 -1.603
-3.583 3.351 -4.029
-1.092 6.541 -2.227
-3.716 3.229 0.129
-6.208 0.040 -1.673
-7.194 -0.587 -6.248
-2.320 0.879 -3.613
-1.668 3.773 -1.792
-5.631 2.807 -2.108
-1.394 2.106 1.407
-5.154 0.833 0.886
-5.342 -0.704 -4.238
-2.459 2.616 -6.349
-5.203 -2.440 -1.501
```

Properties
The crystal system is monoclinic. The volume comes out at 26.14 A^3/atom. For the density of states at the Fermi level, the calculation gives 3.07 states/eV/f.u. The uncorrected formation energy comes out at -1.61 eV/atom. As for the polymorph energy (0 for the lowest one): 78 meV per atom.


This record from Alexandria via LeMat-Bulk describes a relaxed structure of Tm5Se4S. The functional is PBE-GGA.

```
Tm5Se4S
1.0
-0.361 3.509 -1.830
1.179 0.404 -3.773
-14.657 -2.900 -6.982
Tm Se S
5 4 1
Cartesian
-11.365 -0.746 -7.815
0.000 0.000 0.000
-2.475 1.758 -4.770
-7.963 1.440 -8.611
-5.876 -0.427 -3.974
-3.748 2.627 -7.167
-1.245 0.877 -2.388
-12.594 0.135 -10.197
-10.091 -1.615 -5.418
-6.920 0.506 -6.293
```

Properties
The crystal system is trigonal. The volume comes out at 22.33 A^3/atom. For the density of states at the Fermi level, the calculation gives 5.09 states/eV/f.u. The uncorrected formation energy comes out at -1.71 eV/atom. As for the polymorph energy (0 for the lowest one): 0 meV per atom.


This record from Alexandria via LeMat-Bulk describes a relaxed structure of TmSeS. The functional is PBE-GGA.

```
TmSeS
1.0
3.736 0.000 0.000
-1.868 5.111 0.244
0.000 -2.117 7.424
Tm Se S
2 2 2
Cartesian
1.868 -1.090 6.061
0.000 4.084 1.606
1.868 1.728 6.701
0.000 1.265 0.966
1.868 3.185 3.336
0.000 -0.192 4.331
```

Properties
The crystal system is monoclinic. The volume comes out at 23.95 A^3/atom. The uncorrected formation energy comes out at -1.46 eV/atom. As for the polymorph energy (0 for the lowest one): 186 meV per atom.